No. 1
# Cs2YRu GGA-PBE optimized geometry
data_Cs2YRu
_space_group_name_H-M_alt 'F m -3 m'
_space_group_IT_number 225
_space_group_name_Hall '-F 4 2 3'
_cell_length_a 7.880
_cell_length_b 7.880
_cell_length_c 7.880
_cell_angle_alpha 90.00
_cell_angle_beta 90.00
_cell_angle_gamma 90.00
loop_
_atom_site_label
_atom_site_fract_x
_atom_site_fract_y
_atom_site_fract_z
_atom_site_occupancy
Cs1 0.250 0.250 0.250 1
Y1 0.000 0.000 0.000 1
Ru1 0.000 0.000 0.500 1
# * density: 6.2 g cm⁻³
# * crystal system: cubic

No. 2
# CsY2Ru GGA-PBE optimized geometry
data_CsY2Ru
_space_group_name_H-M_alt 'I -4 2 d'
_space_group_IT_number 122
_space_group_name_Hall 'I -4 2bw'
_cell_length_a 8.275
_cell_length_b 8.275
_cell_length_c 11.725
_cell_angle_alpha 90.00
_cell_angle_beta 90.00
_cell_angle_gamma 90.00
loop_
_atom_site_label
_atom_site_fract_x
_atom_site_fract_y
_atom_site_fract_z
_atom_site_occupancy
Cs1 0.000 0.000 0.000 1
Y1 0.001 0.250 0.625 1
Ru1 0.000 0.000 0.500 1
# * density: 3.4 g cm⁻³
# * crystal system: tetragonal

No. 3
# Cs2YZrRu GGA-PBE optimized geometry
data_Cs2YZrRu
_space_group_name_H-M_alt 'P 4/m m m'
_space_group_IT_number 123
_space_group_name_Hall '-P 4 2'
_cell_length_a 6.438
_cell_length_b 6.438
_cell_length_c 4.908
_cell_angle_alpha 90.00
_cell_angle_beta 90.00
_cell_angle_gamma 90.00
loop_
_atom_site_label
_atom_site_fract_x
_atom_site_fract_y
_atom_site_fract_z
_atom_site_occupancy
Cs1 0.000 0.500 0.000 1
Y1 0.000 0.000 0.500 1
Zr1 0.500 0.500 0.500 1
Ru1 0.500 0.500 0.000 1
# * density: 4.5 g cm⁻³
# * crystal system: tetragonal

No. 4
# CsZnRu3 GGA-PBE optimized geometry
data_CsZnRu3
_space_group_name_H-M_alt 'P m -3 m'
_space_group_IT_number 221
_space_group_name_Hall '-P 4 2 3'
_cell_length_a 4.900
_cell_length_b 4.900
_cell_length_c 4.900
_cell_angle_alpha 90.00
_cell_angle_beta 90.00
_cell_angle_gamma 90.00
loop_
_atom_site_label
_atom_site_fract_x
_atom_site_fract_y
_atom_site_fract_z
_atom_site_occupancy
Cs1 0.000 0.000 0.000 1
Zn1 0.500 0.500 0.500 1
Ru1 0.000 0.000 0.500 1
# * density: 7.1 g cm⁻³
# * crystal system: cubic

No. 5
# CsZnRu3 GGA-PBE optimized geometry
data_CsZnRu3
_space_group_name_H-M_alt 'P m -3 m'
_space_group_IT_number 221
_space_group_name_Hall '-P 4 2 3'
_cell_length_a 4.842
_cell_length_b 4.842
_cell_length_c 4.842
_cell_angle_alpha 90.00
_cell_angle_beta 90.00
_cell_angle_gamma 90.00
loop_
_atom_site_label
_atom_site_fract_x
_atom_site_fract_y
_atom_site_fract_z
_atom_site_occupancy
Cs1 0.000 0.000 0.000 1
Zn1 0.500 0.500 0.500 1
Ru1 0.000 0.500 0.500 1
# * density: 7.3 g cm⁻³
# * crystal system: cubic

No. 6
# Cs2ZnRu GGA-PBE optimized geometry
data_Cs2ZnRu
_space_group_name_H-M_alt 'F m -3 m'
_space_group_IT_number 225
_space_group_name_Hall '-F 4 2 3'
_cell_length_a 8.756
_cell_length_b 8.756
_cell_length_c 8.756
_cell_angle_alpha 90.00
_cell_angle_beta 90.00
_cell_angle_gamma 90.00
loop_
_atom_site_label
_atom_site_fract_x
_atom_site_fract_y
_atom_site_fract_z
_atom_site_occupancy
Cs1 0.250 0.250 0.250 1
Zn1 0.000 0.000 0.000 1
Ru1 0.000 0.000 0.500 1
# * density: 4.3 g cm⁻³
# * crystal system: cubic

ΔE_f: 1.5519; 0.4254; 1.2411; 2.8234; 1.7368; 1.1529 (eV per atom)